(1)
Computed, not measured: an optimized crystal structure of HoNpRu2 at the PBE-GGA level of DFT.

Values from the calculation:
- E_tot (eV per atom) = -9.22
- size of the total moment (μB per formula unit) = 3.0
- space group = Fm-3m, No. 225
- D(E_F) (states/eV/f.u.) = 4.9

Lattice parameters (Å, degrees): 6.749 6.749 6.749 90.00 90.00 90.00
Element x y z (fractional)
Ho1 0.000 0.000 0.000
Ho2 0.000 0.500 0.500
Ho3 0.500 0.000 0.500
Ho4 0.500 0.500 0.000
Np1 0.000 0.000 0.500
Np2 0.000 0.500 0.000
Np3 0.500 0.000 0.000
Np4 0.500 0.500 0.500
Ru1 0.250 0.250 0.250
Ru2 0.250 0.250 0.750
Ru3 0.250 0.750 0.250
Ru4 0.250 0.750 0.750
Ru5 0.750 0.250 0.250
Ru6 0.750 0.250 0.750
Ru7 0.750 0.750 0.250
Ru8 0.750 0.750 0.750

=====

(2)
Computed, not measured: an optimized crystal structure of Ho2NpRu2 at the PBE-GGA level of DFT.

Values from the calculation:
- E_tot (eV per atom) = -8.45
- size of the total moment (μB per formula unit) = 3.0
- space group = C2/c, No. 15
- D(E_F) (states/eV/f.u.) = 6.4

Lattice parameters (Å, degrees): 5.773 5.773 7.767 99.67 99.67 60.26
Element x y z (fractional)
Ho1 0.020 0.283 0.152
Ho2 0.283 0.020 0.652
Ho3 0.717 0.980 0.348
Ho4 0.980 0.717 0.848
Np1 0.361 0.639 0.250
Np2 0.639 0.361 0.750
Ru1 0.237 0.506 0.490
Ru2 0.494 0.763 0.010
Ru3 0.506 0.237 0.990
Ru4 0.763 0.494 0.510

=====

(3)
Computed, not measured: an optimized crystal structure of HoNpRu4 at the PBE-GGA level of DFT.

Values from the calculation:
- E_tot (eV per atom) = -9.24
- size of the total moment (μB per formula unit) = 2.9
- space group = F-43m, No. 216
- D(E_F) (states/eV/f.u.) = 11.2

Lattice parameters (Å, degrees): 5.311 5.311 5.311 60.00 60.00 60.00
Element x y z (fractional)
Ho1 0.000 0.000 0.000
Np1 0.750 0.750 0.750
Ru1 0.375 0.375 0.375
Ru2 0.375 0.375 0.875
Ru3 0.375 0.875 0.375
Ru4 0.875 0.375 0.375

=====

(4)
Computed, not measured: an optimized crystal structure of Ho4NpRu4 at the PBE-GGA level of DFT.

Values from the calculation:
- E_tot (eV per atom) = -7.80
- size of the total moment (μB per formula unit) = 0.5
- space group = P4_2/n, No. 86
- D(E_F) (states/eV/f.u.) = 7.7

Lattice parameters (Å, degrees): 8.517 8.517 5.717 90.00 90.00 90.00
Element x y z (fractional)
Ho1 0.056 0.679 0.139
Ho2 0.179 0.944 0.639
Ho3 0.321 0.556 0.639
Ho4 0.444 0.821 0.139
Ho5 0.556 0.179 0.861
Ho6 0.679 0.444 0.361
Ho7 0.821 0.056 0.361
Ho8 0.944 0.321 0.861
Np1 0.250 0.250 0.250
Np2 0.750 0.750 0.750
Ru1 0.012 0.368 0.364
Ru2 0.132 0.012 0.136
Ru3 0.368 0.488 0.136
Ru4 0.488 0.132 0.364
Ru5 0.512 0.868 0.636
Ru6 0.632 0.512 0.864
Ru7 0.868 0.988 0.864
Ru8 0.988 0.632 0.636

=====

(5)
Computed, not measured: an optimized crystal structure of HoNpRu2 at the PBE-GGA level of DFT.

Values from the calculation:
- E_tot (eV per atom) = -9.26
- size of the total moment (μB per formula unit) = 2.8
- space group = P4/mmm, No. 123
- D(E_F) (states/eV/f.u.) = 4.8

Lattice parameters (Å, degrees): 3.354 3.354 6.873 90.00 90.00 90.00
Element x y z (fractional)
Ho1 0.000 0.000 0.000
Np1 0.000 0.000 0.500
Ru1 0.500 0.500 0.272
Ru2 0.500 0.500 0.728

=====

(6)
Computed, not measured: an optimized crystal structure of HoNpTcRu at the PBE-GGA level of DFT.

Values from the calculation:
- E_tot (eV per atom) = -9.34
- size of the total moment (μB per formula unit) = 2.7
- space group = F-43m, No. 216
- D(E_F) (states/eV/f.u.) = 5.8

Lattice parameters (Å, degrees): 6.746 6.746 6.746 90.00 90.00 90.00
Element x y z (fractional)
Ho1 0.000 0.000 0.000
Ho2 0.000 0.500 0.500
Ho3 0.500 0.000 0.500
Ho4 0.500 0.500 0.000
Np1 0.000 0.000 0.500
Np2 0.000 0.500 0.000
Np3 0.500 0.000 0.000
Np4 0.500 0.500 0.500
Tc1 0.250 0.250 0.750
Tc2 0.250 0.750 0.250
Tc3 0.750 0.250 0.250
Tc4 0.750 0.750 0.750
Ru1 0.250 0.250 0.250
Ru2 0.250 0.750 0.750
Ru3 0.750 0.250 0.750
Ru4 0.750 0.750 0.250

=====

(7)
Computed, not measured: an optimized crystal structure of Ho2Np2S7 at the PBE-GGA level of DFT.

Values from the calculation:
- E_tot (eV per atom) = -7.40
- uncorrected formation energy (eV/atom) = -1.5904
- size of the total moment (μB per formula unit) = 6.0
- space group = Imm2, No. 44
- D(E_F) (states/eV/f.u.) = 18.5
- offset from the most stable computed form (meV per atom) = 0

Lattice parameters (Å, degrees): 8.414 8.414 8.414 153.27 67.42 119.39
Element x y z (fractional)
Ho1 0.244 0.000 0.244
Ho2 0.756 0.000 0.756
Np1 0.244 0.244 0.000
Np2 0.702 0.202 0.500
S1 0.060 0.692 0.368
S2 0.323 0.692 0.632
S3 0.416 0.524 0.892
S4 0.619 0.304 0.316
S5 0.631 0.524 0.108
S6 0.925 0.925 0.000
S7 0.988 0.304 0.684

=====

(8)
Computed, not measured: an optimized crystal structure of Ho2NpS5 at the PBE-GGA level of DFT.

Values from the calculation:
- E_tot (eV per atom) = -6.78
- uncorrected formation energy (eV/atom) = -1.4402
- size of the total moment (μB per formula unit) = 3.2
- space group = Fmmm, No. 69
- D(E_F) (states/eV/f.u.) = 11.2

Lattice parameters (Å, degrees): 8.620 7.877 5.155 79.85 64.09 36.06
Element x y z (fractional)
Ho1 0.179 0.179 0.821
Ho2 0.821 0.821 0.179
Np1 0.500 0.500 0.500
S1 0.000 0.000 0.000
S2 0.180 0.508 0.492
S3 0.492 0.820 0.180
S4 0.508 0.180 0.820
S5 0.820 0.492 0.508

=====

Q: What is the formula in the seventh record?
A: Ho2Np2S7

=====

Q: Look up the size of the total moment of the seventh one.
A: 6.0 μB per formula unit

=====

Repeat the first record exactly.
Computed, not measured: an optimized crystal structure of HoNpRu2 at the PBE-GGA level of DFT.

Values from the calculation:
- E_tot (eV per atom) = -9.22
- size of the total moment (μB per formula unit) = 3.0
- space group = Fm-3m, No. 225
- D(E_F) (states/eV/f.u.) = 4.9

Lattice parameters (Å, degrees): 6.749 6.749 6.749 90.00 90.00 90.00
Element x y z (fractional)
Ho1 0.000 0.000 0.000
Ho2 0.000 0.500 0.500
Ho3 0.500 0.000 0.500
Ho4 0.500 0.500 0.000
Np1 0.000 0.000 0.500
Np2 0.000 0.500 0.000
Np3 0.500 0.000 0.000
Np4 0.500 0.500 0.500
Ru1 0.250 0.250 0.250
Ru2 0.250 0.250 0.750
Ru3 0.250 0.750 0.250
Ru4 0.250 0.750 0.750
Ru5 0.750 0.250 0.250
Ru6 0.750 0.250 0.750
Ru7 0.750 0.750 0.250
Ru8 0.750 0.750 0.750

=====

Q: Which of these has the lowest size of the total moment?
A: Ho4NpRu4